Computed, not measured: an optimized crystal structure of Mg2As at the GGA-PBE level of DFT.

Structure (POSCAR):
```
Mg2As
1.0
2.114 -8.645 0.000
2.114 8.645 0.000
0.000 0.000 4.577
Mg As
4 2
Direct
0.066 0.934 0.750
0.263 0.737 0.750
0.737 0.263 0.250
0.934 0.066 0.250
0.338 0.662 0.250
0.662 0.338 0.750
```

## Properties
* formation energy: -0.349 eV per atom
* symmetry: Cmcm (63)